# PBE-GGA TlGaSn, relaxed
# Energy = -3.11 eV per atom
# D(E_F) = 6.14 states/eV per cell
# Formation enthalpy at 0 K = 7 kJ/mol of formula units
# Calculated volume = 323.2 Å³ per cell
# Spin magnetization = 0.00 μB/cell
# Distance to the lowest polymorph of the same formula = 13.2 meV per atom
data_TlGaSn
_symmetry_space_group_name_H-M 'C 1 2 1'
_symmetry_Int_Tables_number 5
_symmetry_space_group_name_Hall 'C 2y'
_cell_length_a 9.497
_cell_length_b 8.197
_cell_length_c 4.805
_cell_angle_alpha 90.00
_cell_angle_beta 120.23
_cell_angle_gamma 90.00
loop_
_atom_site_label
_atom_site_type_symbol
_atom_site_fract_x
_atom_site_fract_y
_atom_site_fract_z
Tl1 Tl 0.166 0.000 0.418
Ga1 Ga 0.072 0.328 0.822
Sn1 Sn 0.113 0.682 0.862

***

# PBE-GGA TlGa6Sn, relaxed
# Energy = -2.95 eV per atom
# D(E_F) = 5.65 states/eV per cell
# Formation enthalpy at 0 K = 93 kJ/mol of formula units
# Calculated volume = 178.9 Å³ per cell
# Spin magnetization = 0.00 μB/cell
data_TlGa6Sn
_symmetry_space_group_name_H-M 'P m -3'
_symmetry_Int_Tables_number 200
_symmetry_space_group_name_Hall '-P 2 2 3'
_cell_length_a 5.635
_cell_length_b 5.635
_cell_length_c 5.635
_cell_angle_alpha 90.00
_cell_angle_beta 90.00
_cell_angle_gamma 90.00
loop_
_atom_site_label
_atom_site_type_symbol
_atom_site_fract_x
_atom_site_fract_y
_atom_site_fract_z
Tl1 Tl 0.000 0.000 0.000
Ga1 Ga 0.000 0.250 0.500
Sn1 Sn 0.500 0.500 0.500

***

# PBE-GGA TlGa2Sn2, relaxed
# Energy = -3.22 eV per atom
# D(E_F) = 5.33 states/eV per cell
# Formation enthalpy at 0 K = 31 kJ/mol of formula units
# Calculated volume = 254.4 Å³ per cell
# Spin magnetization = 0.00 μB/cell
# Distance to the lowest polymorph of the same formula = 39.1 meV per atom
data_TlGa2Sn2
_symmetry_space_group_name_H-M 'P 4/m b m'
_symmetry_Int_Tables_number 127
_symmetry_space_group_name_Hall '-P 4 2ab'
_cell_length_a 8.705
_cell_length_b 8.705
_cell_length_c 3.357
_cell_angle_alpha 90.00
_cell_angle_beta 90.00
_cell_angle_gamma 90.00
loop_
_atom_site_label
_atom_site_type_symbol
_atom_site_fract_x
_atom_site_fract_y
_atom_site_fract_z
Tl1 Tl 0.000 0.000 0.000
Ga1 Ga 0.152 0.348 0.500
Sn1 Sn 0.142 0.642 0.000

***

# PBE-GGA Tl4Ga2Sn3, relaxed
# Energy = -3.01 eV per atom
# D(E_F) = 13.76 states/eV per cell
# Formation enthalpy at 0 K = 42 kJ/mol of formula units
# Calculated volume = 1013.9 Å³ per cell
# Spin magnetization = 0.00 μB/cell
data_Tl4Ga2Sn3
_symmetry_space_group_name_H-M 'C 1 2/c 1'
_symmetry_Int_Tables_number 15
_symmetry_space_group_name_Hall '-C 2yc'
_cell_length_a 11.876
_cell_length_b 14.279
_cell_length_c 6.213
_cell_angle_alpha 90.00
_cell_angle_beta 105.78
_cell_angle_gamma 90.00
loop_
_atom_site_label
_atom_site_type_symbol
_atom_site_fract_x
_atom_site_fract_y
_atom_site_fract_z
Tl1 Tl 0.107 0.198 0.020
Tl2 Tl 0.140 0.322 0.538
Ga1 Ga 0.197 0.413 0.099
Sn1 Sn 0.000 0.487 0.750
Sn2 Sn 0.116 0.048 0.475

***

# PBE-GGA TlGaSn2, relaxed
# Energy = -3.26 eV per atom
# D(E_F) = 5.30 states/eV per cell
# Formation enthalpy at 0 K = 36 kJ/mol of formula units
# Calculated volume = 344.9 Å³ per cell
# Spin magnetization = 0.00 μB/cell
# Distance to the lowest polymorph of the same formula = 67.0 meV per atom
data_TlGaSn2
_symmetry_space_group_name_H-M 'R 3 m'
_symmetry_Int_Tables_number 160
_symmetry_space_group_name_Hall 'R 3 -2"'
_cell_length_a 4.3399
_cell_length_b 4.3399
_cell_length_c 21.1475
_cell_angle_alpha 90.00
_cell_angle_beta 90.00
_cell_angle_gamma 120.00
loop_
_atom_site_label
_atom_site_type_symbol
_atom_site_fract_x
_atom_site_fract_y
_atom_site_fract_z
Tl1 Tl 0.0000 0.0000 0.0000
Ga1 Ga 0.0000 0.0000 0.1668
Sn1 Sn 0.0000 0.0000 0.5635
Sn2 Sn 0.0000 0.0000 0.7685

***

# PBE-GGA TlGaSn2, relaxed
# Energy = -3.27 eV per atom
# D(E_F) = 3.78 states/eV per cell
# Formation enthalpy at 0 K = 33 kJ/mol of formula units
# Calculated volume = 337.2 Å³ per cell
# Spin magnetization = 0.00 μB/cell
# Distance to the lowest polymorph of the same formula = 59.1 meV per atom
data_TlGaSn2
_symmetry_space_group_name_H-M 'R -3 m'
_symmetry_Int_Tables_number 166
_symmetry_space_group_name_Hall '-R 3 2"'
_cell_length_a 4.1471
_cell_length_b 4.1471
_cell_length_c 22.6399
_cell_angle_alpha 90.00
_cell_angle_beta 90.00
_cell_angle_gamma 120.00
loop_
_atom_site_label
_atom_site_type_symbol
_atom_site_fract_x
_atom_site_fract_y
_atom_site_fract_z
Tl1 Tl 0.0000 0.0000 0.0000
Ga1 Ga 0.0000 0.0000 0.5000
Sn1 Sn 0.0000 0.0000 0.2326

***

# PBE-GGA TlGa7Sn2, relaxed
# Energy = -3.06 eV per atom
# D(E_F) = 10.48 states/eV per cell
# Formation enthalpy at 0 K = 93 kJ/mol of formula units
# Calculated volume = 471.3 Å³ per cell
# Spin magnetization = 0.00 μB/cell
data_TlGa7Sn2
_symmetry_space_group_name_H-M 'C m m m'
_symmetry_Int_Tables_number 65
_symmetry_space_group_name_Hall '-C 2 2'
_cell_length_a 6.630
_cell_length_b 19.006
_cell_length_c 3.740
_cell_angle_alpha 90.00
_cell_angle_beta 90.00
_cell_angle_gamma 90.00
loop_
_atom_site_label
_atom_site_type_symbol
_atom_site_fract_x
_atom_site_fract_y
_atom_site_fract_z
Tl1 Tl 0.000 0.000 0.000
Ga1 Ga 0.000 0.388 0.000
Ga2 Ga 0.000 0.500 0.500
Ga3 Ga 0.202 0.118 0.500
Sn1 Sn 0.000 0.261 0.500

***

# PBE-GGA Tl2Ga15Sn2, relaxed
# Energy = -3.02 eV per atom
# D(E_F) = 22.35 states/eV per cell
# Formation enthalpy at 0 K = 78 kJ/mol of formula units
# Calculated volume = 1234.4 Å³ per cell
# Spin magnetization = 0.00 μB/cell
data_Tl2Ga15Sn2
_symmetry_space_group_name_H-M 'R -3 m'
_symmetry_Int_Tables_number 166
_symmetry_space_group_name_Hall '-R 3 2"'
_cell_length_a 9.9846
_cell_length_b 9.9846
_cell_length_c 14.2973
_cell_angle_alpha 90.00
_cell_angle_beta 90.00
_cell_angle_gamma 120.00
loop_
_atom_site_label
_atom_site_type_symbol
_atom_site_fract_x
_atom_site_fract_y
_atom_site_fract_z
Tl1 Tl 0.0000 0.0000 0.1468
Ga1 Ga 0.0000 0.3036 0.5000
Ga2 Ga 0.0000 0.5000 0.0000
Ga3 Ga 0.0150 0.5075 0.6463
Sn1 Sn 0.0000 0.0000 0.3903

***

# PBE-GGA TlGaSn2, relaxed
# Energy = -3.32 eV per atom
# D(E_F) = 0.93 states/eV per cell
# Formation enthalpy at 0 K = 10 kJ/mol of formula units
# Calculated volume = 107.0 Å³ per cell
# Spin magnetization = 0.00 μB/cell
# Distance to the lowest polymorph of the same formula = 0.0 meV per atom
data_TlGaSn2
_symmetry_space_group_name_H-M 'P 4/m m m'
_symmetry_Int_Tables_number 123
_symmetry_space_group_name_Hall '-P 4 2'
_cell_length_a 3.647
_cell_length_b 3.647
_cell_length_c 8.042
_cell_angle_alpha 90.00
_cell_angle_beta 90.00
_cell_angle_gamma 90.00
loop_
_atom_site_label
_atom_site_type_symbol
_atom_site_fract_x
_atom_site_fract_y
_atom_site_fract_z
Tl1 Tl 0.000 0.000 0.000
Ga1 Ga 0.000 0.000 0.500
Sn1 Sn 0.500 0.500 0.300

***

# PBE-GGA TlGa2Sn2, relaxed
# Energy = -3.22 eV per atom
# D(E_F) = 5.71 states/eV per cell
# Formation enthalpy at 0 K = 29 kJ/mol of formula units
# Calculated volume = 579.1 Å³ per cell
# Spin magnetization = 0.00 μB/cell
# Distance to the lowest polymorph of the same formula = 36.0 meV per atom
data_TlGa2Sn2
_symmetry_space_group_name_H-M 'C m c m'
_symmetry_Int_Tables_number 63
_symmetry_space_group_name_Hall '-C 2c 2'
_cell_length_a 4.296
_cell_length_b 12.152
_cell_length_c 11.093
_cell_angle_alpha 90.00
_cell_angle_beta 90.00
_cell_angle_gamma 90.00
loop_
_atom_site_label
_atom_site_type_symbol
_atom_site_fract_x
_atom_site_fract_y
_atom_site_fract_z
Tl1 Tl 0.000 0.071 0.250
Ga1 Ga 0.000 0.209 0.638
Sn1 Sn 0.000 0.384 0.022

***

# PBE-GGA Tl2Ga7Sn, relaxed
# Energy = -2.98 eV per atom
# D(E_F) = 3.46 states/eV per cell
# Formation enthalpy at 0 K = 14 kJ/mol of formula units
# Calculated volume = 232.0 Å³ per cell
# Spin magnetization = 0.00 μB/cell
data_Tl2Ga7Sn
_symmetry_space_group_name_H-M 'P -4 m 2'
_symmetry_Int_Tables_number 115
_symmetry_space_group_name_Hall 'P -4 -2'
_cell_length_a 4.489
_cell_length_b 4.489
_cell_length_c 11.513
_cell_angle_alpha 90.00
_cell_angle_beta 90.00
_cell_angle_gamma 90.00
loop_
_atom_site_label
_atom_site_type_symbol
_atom_site_fract_x
_atom_site_fract_y
_atom_site_fract_z
Tl1 Tl 0.000 0.500 0.239
Ga1 Ga 0.000 0.000 0.000
Ga2 Ga 0.000 0.500 0.648
Ga3 Ga 0.000 0.500 0.870
Ga4 Ga 0.500 0.500 0.000
Ga5 Ga 0.500 0.500 0.500
Sn1 Sn 0.000 0.000 0.500

***

# PBE-GGA TlGa2Sn3, relaxed
# Energy = -3.33 eV per atom
# D(E_F) = 5.91 states/eV per cell
# Formation enthalpy at 0 K = 41 kJ/mol of formula units
# Calculated volume = 319.9 Å³ per cell
# Spin magnetization = 0.00 μB/cell
# Distance to the lowest polymorph of the same formula = 29.8 meV per atom
data_TlGa2Sn3
_symmetry_space_group_name_H-M 'P 63/m m c'
_symmetry_Int_Tables_number 194
_symmetry_space_group_name_Hall '-P 6c 2c'
_cell_length_a 4.9173
_cell_length_b 4.9173
_cell_length_c 15.2753
_cell_angle_alpha 90.00
_cell_angle_beta 90.00
_cell_angle_gamma 120.00
loop_
_atom_site_label
_atom_site_type_symbol
_atom_site_fract_x
_atom_site_fract_y
_atom_site_fract_z
Tl1 Tl 0.0000 0.0000 0.2500
Ga1 Ga 0.3333 0.6667 0.0811
Sn1 Sn 0.0000 0.0000 0.0000
Sn2 Sn 0.3333 0.6667 0.6314